This record from Alexandria describes a geometry-optimized NdSnPb structure. The functional is PBE-GGA.

Calculated values
Theoretical density: 8.851 g/cm3
Total energy: -4.71 eV per atom
Distance to the lowest polymorph of the same formula: 0.000 eV per formula unit
Energy of formation: -0.55 eV/atom
D(E_F): 7.22 states/eV/cell

Geometry as CIF:
```
data_NdSnPb
_chemical_formula_sum 'Nd4 Sn4 Pb4'
_symmetry_space_group_name_H-M 'C m c m'
_symmetry_Int_Tables_number 63
_symmetry_space_group_name_Hall '-C 2c 2'
_cell_length_a 4.658
_cell_length_b 16.948
_cell_length_c 4.469
_cell_angle_alpha 90.00
_cell_angle_beta 90.00
_cell_angle_gamma 90.00
loop_
_atom_site_label
_atom_site_type_symbol
_atom_site_fract_x
_atom_site_fract_y
_atom_site_fract_z
_atom_site_occupancy
Nd1 Nd 0.000 0.096 0.250 1
Sn1 Sn 0.000 0.439 0.250 1
Pb1 Pb 0.000 0.253 0.750 1
```

***

This record from Alexandria describes a geometry-optimized NdSn4Pb structure. The functional is PBE-GGA.

Calculated values
Theoretical density: 7.958 g/cm3
Total energy: -4.27 eV per atom
Energy of formation: -0.19 eV/atom
D(E_F): 13.56 states/eV/cell

Geometry as CIF:
```
data_NdSn4Pb
_chemical_formula_sum 'Nd4 Sn16 Pb4'
_symmetry_space_group_name_H-M 'F -4 3 m'
_symmetry_Int_Tables_number 216
_symmetry_space_group_name_Hall 'F -4 2 3'
_cell_length_a 8.835
_cell_length_b 8.835
_cell_length_c 8.835
_cell_angle_alpha 90.00
_cell_angle_beta 90.00
_cell_angle_gamma 90.00
loop_
_atom_site_label
_atom_site_type_symbol
_atom_site_fract_x
_atom_site_fract_y
_atom_site_fract_z
_atom_site_occupancy
Nd1 Nd 0.000 0.000 0.000 1
Sn1 Sn 0.125 0.125 0.625 1
Pb1 Pb 0.250 0.250 0.250 1
```

***

This record from Alexandria describes a geometry-optimized Nd2SnPb2 structure. The functional is PBE-GGA.

Calculated values
Theoretical density: 8.873 g/cm3
Total energy: -4.67 eV per atom
Energy of formation: -0.48 eV/atom
D(E_F): 5.68 states/eV/cell

Geometry as CIF:
```
data_Nd2SnPb2
_chemical_formula_sum 'Nd4 Sn2 Pb4'
_symmetry_space_group_name_H-M 'P -1'
_symmetry_Int_Tables_number 2
_cell_length_a 4.681
_cell_length_b 6.487
_cell_length_c 11.273
_cell_angle_alpha 76.40
_cell_angle_beta 78.04
_cell_angle_gamma 68.88
loop_
_symmetry_equiv_pos_as_xyz
'x,y,z'
'-x,-y,-z'
loop_
_atom_site_label
_atom_site_type_symbol
_atom_site_fract_x
_atom_site_fract_y
_atom_site_fract_z
_atom_site_occupancy
Nd1 Nd 0.013 0.155 0.320 1
Nd2 Nd 0.171 0.264 0.892 1
Sn1 Sn 0.311 0.575 0.304 1
Pb1 Pb 0.360 0.225 0.553 1
Pb2 Pb 0.436 0.729 0.900 1
```

***

This record from Alexandria describes a geometry-optimized Nd3SnPb2 structure. The functional is PBE-GGA.

Calculated values
Theoretical density: 8.190 g/cm3
Total energy: -4.79 eV per atom
Distance to the lowest polymorph of the same formula: 0.090 eV per formula unit
Energy of formation: -0.50 eV/atom
D(E_F): 15.05 states/eV/cell

Geometry as CIF:
```
data_Nd3SnPb2
_chemical_formula_sum 'Nd12 Sn4 Pb8'
_symmetry_space_group_name_H-M 'C 1 2/c 1'
_symmetry_Int_Tables_number 15
_cell_length_a 16.546
_cell_length_b 6.455
_cell_length_c 7.529
_cell_angle_alpha 90.00
_cell_angle_beta 103.08
_cell_angle_gamma 90.00
loop_
_symmetry_equiv_pos_as_xyz
'x,y,z'
'-x,-y,-z'
'-x,y,-z+1/2'
'x,-y,z+1/2'
'x+1/2,y+1/2,z'
'-x+1/2,-y+1/2,-z'
'-x+1/2,y+1/2,-z+1/2'
'x+1/2,-y+1/2,z+1/2'
loop_
_atom_site_label
_atom_site_type_symbol
_atom_site_fract_x
_atom_site_fract_y
_atom_site_fract_z
_atom_site_occupancy
Nd1 Nd 0.000 0.007 0.250 1
Nd2 Nd 0.163 0.497 0.582 1
Sn1 Sn 0.000 0.492 0.750 1
Pb1 Pb 0.168 0.003 0.084 1
```

***

This record from Alexandria describes a geometry-optimized Nd10Sn3Pb3 structure. The functional is PBE-GGA.

Calculated values
Theoretical density: 7.723 g/cm3
Total energy: -5.04 eV per atom
Energy of formation: -0.62 eV/atom
D(E_F): 16.71 states/eV/cell

Geometry as CIF:
```
data_Nd10Sn3Pb3
_chemical_formula_sum 'Nd10 Sn3 Pb3'
_symmetry_space_group_name_H-M 'P -6 2 m'
_symmetry_Int_Tables_number 189
_symmetry_space_group_name_Hall 'P -6 -2'
_cell_length_a 9.3539
_cell_length_b 9.3539
_cell_length_c 6.8676
_cell_angle_alpha 90.00
_cell_angle_beta 90.00
_cell_angle_gamma 120.00
loop_
_atom_site_label
_atom_site_type_symbol
_atom_site_fract_x
_atom_site_fract_y
_atom_site_fract_z
_atom_site_occupancy
Nd1 Nd 0.0000 0.2405 0.0000 1
Nd2 Nd 0.0000 0.7591 0.5000 1
Nd3 Nd 0.3333 0.6667 0.2464 1
Sn1 Sn 0.0000 0.6064 0.0000 1
Pb1 Pb 0.0000 0.3944 0.5000 1
```

***

This record from Alexandria describes a geometry-optimized Nd2Sn4Pb structure. The functional is PBE-GGA.

Calculated values
Theoretical density: 7.680 g/cm3
Total energy: -4.58 eV per atom
Distance to the lowest polymorph of the same formula: 0.174 eV per formula unit
Energy of formation: -0.40 eV/atom
D(E_F): 4.11 states/eV/cell

Geometry as CIF:
```
data_Nd2Sn4Pb
_chemical_formula_sum 'Nd2 Sn4 Pb1'
_symmetry_space_group_name_H-M 'P -4 m 2'
_symmetry_Int_Tables_number 115
_cell_length_a 4.508
_cell_length_b 4.508
_cell_length_c 10.328
_cell_angle_alpha 90.00
_cell_angle_beta 90.00
_cell_angle_gamma 90.00
loop_
_symmetry_equiv_pos_as_xyz
'x,y,z'
'y,-x,-z'
'-x,-y,z'
'-y,x,-z'
'-x,y,z'
'-y,-x,-z'
'x,-y,z'
'y,x,-z'
loop_
_atom_site_label
_atom_site_type_symbol
_atom_site_fract_x
_atom_site_fract_y
_atom_site_fract_z
_atom_site_occupancy
Nd1 Nd 0.000 0.500 0.244 1
Sn1 Sn 0.000 0.000 0.000 1
Sn2 Sn 0.000 0.500 0.709 1
Sn3 Sn 0.500 0.500 0.000 1
Pb1 Pb 0.000 0.000 0.500 1
```

***

This record from Alexandria describes a geometry-optimized Nd2SnPb4 structure. The functional is PBE-GGA.

Calculated values
Theoretical density: 9.225 g/cm3
Total energy: -4.39 eV per atom
Energy of formation: -0.34 eV/atom
D(E_F): 8.91 states/eV/cell

Geometry as CIF:
```
data_Nd2SnPb4
_chemical_formula_sum 'Nd4 Sn2 Pb8'
_symmetry_space_group_name_H-M 'C 1 2/m 1'
_symmetry_Int_Tables_number 12
_cell_length_a 9.542
_cell_length_b 9.686
_cell_length_c 6.753
_cell_angle_alpha 90.00
_cell_angle_beta 134.53
_cell_angle_gamma 90.00
loop_
_symmetry_equiv_pos_as_xyz
'x,y,z'
'-x,-y,-z'
'-x,y,-z'
'x,-y,z'
'x+1/2,y+1/2,z'
'-x+1/2,-y+1/2,-z'
'-x+1/2,y+1/2,-z'
'x+1/2,-y+1/2,z'
loop_
_atom_site_label
_atom_site_type_symbol
_atom_site_fract_x
_atom_site_fract_y
_atom_site_fract_z
_atom_site_occupancy
Nd1 Nd 0.250 0.250 0.000 1
Sn1 Sn 0.000 0.000 0.500 1
Pb1 Pb 0.000 0.000 0.000 1
Pb2 Pb 0.000 0.500 0.000 1
Pb3 Pb 0.250 0.250 0.500 1
```

***

This record from Alexandria describes a geometry-optimized Nd6Sn2Pb structure. The functional is PBE-GGA.

Calculated values
Theoretical density: 7.509 g/cm3
Total energy: -5.00 eV per atom
Energy of formation: -0.52 eV/atom
D(E_F): 22.45 states/eV/cell

Geometry as CIF:
```
data_Nd6Sn2Pb
_chemical_formula_sum 'Nd12 Sn4 Pb2'
_symmetry_space_group_name_H-M 'A m m 2'
_symmetry_Int_Tables_number 38
_cell_length_a 4.429
_cell_length_b 15.052
_cell_length_c 8.691
_cell_angle_alpha 90.00
_cell_angle_beta 90.00
_cell_angle_gamma 90.00
loop_
_symmetry_equiv_pos_as_xyz
'x,y,z'
'-x,-y,z'
'-x,y,z'
'x,-y,z'
'x,y+1/2,z+1/2'
'-x,-y+1/2,z+1/2'
'-x,y+1/2,z+1/2'
'x,-y+1/2,z+1/2'
loop_
_atom_site_label
_atom_site_type_symbol
_atom_site_fract_x
_atom_site_fract_y
_atom_site_fract_z
_atom_site_occupancy
Nd1 Nd 0.000 0.000 0.000 1
Nd2 Nd 0.000 0.136 0.592 1
Nd3 Nd 0.500 0.000 0.322 1
Nd4 Nd 0.500 0.203 0.931 1
Sn1 Sn 0.000 0.167 0.228 1
Pb1 Pb 0.500 0.000 0.728 1
```

***

This record from Alexandria describes a geometry-optimized Nd5Sn2Pb2 structure. The functional is PBE-GGA.

Calculated values
Theoretical density: 7.606 g/cm3
Total energy: -4.79 eV per atom
Distance to the lowest polymorph of the same formula: 2.228 eV per formula unit
Energy of formation: -0.43 eV/atom
D(E_F): 33.02 states/eV/cell

Geometry as CIF:
```
data_Nd5Sn2Pb2
_chemical_formula_sum 'Nd20 Sn8 Pb8'
_symmetry_space_group_name_H-M 'I m a 2'
_symmetry_Int_Tables_number 46
_cell_length_a 17.474
_cell_length_b 8.364
_cell_length_c 8.205
_cell_angle_alpha 90.00
_cell_angle_beta 90.00
_cell_angle_gamma 90.00
loop_
_symmetry_equiv_pos_as_xyz
'x,y,z'
'-x,-y,z'
'-x+1/2,y,z'
'x+1/2,-y,z'
'x+1/2,y+1/2,z+1/2'
'-x+1/2,-y+1/2,z+1/2'
'-x,y+1/2,z+1/2'
'x,-y+1/2,z+1/2'
loop_
_atom_site_label
_atom_site_type_symbol
_atom_site_fract_x
_atom_site_fract_y
_atom_site_fract_z
_atom_site_occupancy
Nd1 Nd 0.061 0.182 0.000 1
Nd2 Nd 0.157 0.677 0.142 1
Nd3 Nd 0.250 0.151 0.300 1
Sn1 Sn 0.083 0.539 0.818 1
Pb1 Pb 0.000 0.000 0.683 1
Pb2 Pb 0.250 0.507 0.448 1
```

***

This record from Alexandria describes a geometry-optimized Nd4SnPb structure. The functional is PBE-GGA.

Calculated values
Theoretical density: 7.757 g/cm3
Total energy: -4.91 eV per atom
Energy of formation: -0.45 eV/atom
D(E_F): 29.85 states/eV/cell

Geometry as CIF:
```
data_Nd4SnPb
_chemical_formula_sum 'Nd16 Sn4 Pb4'
_symmetry_space_group_name_H-M 'C 1 2/c 1'
_symmetry_Int_Tables_number 15
_cell_length_a 9.147
_cell_length_b 14.484
_cell_length_c 6.315
_cell_angle_alpha 90.00
_cell_angle_beta 112.47
_cell_angle_gamma 90.00
loop_
_symmetry_equiv_pos_as_xyz
'x,y,z'
'-x,-y,-z'
'-x,y,-z+1/2'
'x,-y,z+1/2'
'x+1/2,y+1/2,z'
'-x+1/2,-y+1/2,-z'
'-x+1/2,y+1/2,-z+1/2'
'x+1/2,-y+1/2,z+1/2'
loop_
_atom_site_label
_atom_site_type_symbol
_atom_site_fract_x
_atom_site_fract_y
_atom_site_fract_z
_atom_site_occupancy
Nd1 Nd 0.109 0.189 0.068 1
Nd2 Nd 0.196 0.417 0.342 1
Sn1 Sn 0.000 0.002 0.750 1
Pb1 Pb 0.000 0.381 0.750 1
```

***

This record from Alexandria describes a geometry-optimized Nd4Sn2Pb structure. The functional is PBE-GGA.

Calculated values
Theoretical density: 6.993 g/cm3
Total energy: -4.89 eV per atom
Energy of formation: -0.49 eV/atom
D(E_F): 13.26 states/eV/cell

Geometry as CIF:
```
data_Nd4Sn2Pb
_chemical_formula_sum 'Nd12 Sn6 Pb3'
_symmetry_space_group_name_H-M 'R -3 m'
_symmetry_Int_Tables_number 166
_symmetry_space_group_name_Hall '-R 3 2"'
_cell_length_a 5.0331
_cell_length_b 5.0331
_cell_length_c 33.1717
_cell_angle_alpha 90.00
_cell_angle_beta 90.00
_cell_angle_gamma 120.00
loop_
_atom_site_label
_atom_site_type_symbol
_atom_site_fract_x
_atom_site_fract_y
_atom_site_fract_z
_atom_site_occupancy
Nd1 Nd 0.0000 0.0000 0.1190 1
Nd2 Nd 0.0000 0.0000 0.2989 1
Sn1 Sn 0.0000 0.0000 0.4030 1
Pb1 Pb 0.0000 0.0000 0.5000 1
```

***

This record from Alexandria describes a geometry-optimized NdSnPb2 structure. The functional is PBE-GGA.

Calculated values
Theoretical density: 9.654 g/cm3
Total energy: -4.45 eV per atom
Distance to the lowest polymorph of the same formula: 0.000 eV per formula unit
Energy of formation: -0.41 eV/atom
D(E_F): 2.16 states/eV/cell

Geometry as CIF:
```
data_NdSnPb2
_chemical_formula_sum 'Nd1 Sn1 Pb2'
_symmetry_space_group_name_H-M 'P 4/m m m'
_symmetry_Int_Tables_number 123
_symmetry_space_group_name_Hall '-P 4 2'
_cell_length_a 4.879
_cell_length_b 4.879
_cell_length_c 4.895
_cell_angle_alpha 90.00
_cell_angle_beta 90.00
_cell_angle_gamma 90.00
loop_
_atom_site_label
_atom_site_type_symbol
_atom_site_fract_x
_atom_site_fract_y
_atom_site_fract_z
_atom_site_occupancy
Nd1 Nd 0.000 0.000 0.000 1
Sn1 Sn 0.500 0.500 0.000 1
Pb1 Pb 0.000 0.500 0.500 1
```

***

Among the records above, which one has the highest D(E_F)?
Nd5Sn2Pb2